[1]
First-principles (PBE) data for an optimized crystal structure of Tb2PuPbC, as listed in Alexandria. Values from VASP.

Summary:
The symmetry is P4/mmm, No. 123. As for the total energy: -7.689 eV/atom.

```
&SYSTEM
  ibrav = 0, nat = 5, ntyp = 4
/
ATOMIC_SPECIES
Pb 207.20 Pb.upf
Tb 158.93 Tb.upf
Pu 244.00 Pu.upf
C 12.01 C.upf
CELL_PARAMETERS angstrom
-4.300 -2.136 -0.218
0.224 -0.950 4.898
-2.220 4.372 0.950
ATOMIC_POSITIONS crystal
Pb 0.500 0.500 0.500
Tb 0.000 0.500 0.000
Tb 0.000 0.000 0.500
Pu 0.500 0.000 0.000
C 0.000 0.000 0.000
```

[2]
First-principles (PBE) data for an optimized crystal structure of HgSb, as listed in Alexandria. Values from VASP.

Summary:
The symmetry is P2_12_12_1, No. 19. As for the total energy: -2.084 eV/atom. As for the raw formation energy: 0.128 eV per atom. The energy relative to the lowest polymorph listed for this composition is 2.29 kcal/mol of atoms.

```
&SYSTEM
  ibrav = 0, nat = 16, ntyp = 2
/
ATOMIC_SPECIES
Hg 200.59 Hg.upf
Sb 121.76 Sb.upf
CELL_PARAMETERS angstrom
-0.130 3.327 6.273
-6.021 -2.778 1.348
4.505 -7.728 4.192
ATOMIC_POSITIONS crystal
Hg 0.200 0.686 0.856
Hg 0.786 0.352 0.988
Hg 0.700 0.814 0.144
Hg 0.214 0.852 0.512
Hg 0.300 0.314 0.356
Hg 0.714 0.648 0.488
Hg 0.286 0.148 0.012
Hg 0.800 0.186 0.644
Sb 0.392 0.098 0.727
Sb 0.354 0.591 0.125
Sb 0.108 0.902 0.227
Sb 0.854 0.909 0.875
Sb 0.608 0.598 0.773
Sb 0.146 0.409 0.625
Sb 0.646 0.091 0.375
Sb 0.892 0.402 0.273
```

[3]
First-principles (PBE) data for an optimized crystal structure of Tl2CdGa, as listed in Alexandria. Values from VASP.

Summary:
The symmetry is I-42d, No. 122. As for the total energy: -2.012 eV/atom.

```
&SYSTEM
  ibrav = 0, nat = 8, ntyp = 3
/
ATOMIC_SPECIES
Ga 69.72 Ga.upf
Tl 204.38 Tl.upf
Cd 112.41 Cd.upf
CELL_PARAMETERS angstrom
-2.927 -2.993 -1.538
2.916 -3.274 0.822
-4.229 -4.304 9.957
ATOMIC_POSITIONS crystal
Ga 0.500 0.500 0.000
Ga 0.250 0.750 0.500
Tl 0.129 0.625 0.250
Tl 0.875 0.871 0.750
Tl 0.375 0.379 0.750
Tl 0.621 0.125 0.250
Cd 0.000 0.000 0.000
Cd 0.750 0.250 0.500
```

[4]
First-principles (PBE) data for an optimized crystal structure of TiMn5Al4, as listed in Alexandria. Values from VASP.

Summary:
The symmetry is P4/mmm, No. 123. As for the total energy: -7.118 eV/atom.

```
&SYSTEM
  ibrav = 0, nat = 10, ntyp = 3
/
ATOMIC_SPECIES
Al 26.98 Al.upf
Mn 54.94 Mn.upf
Ti 47.87 Ti.upf
CELL_PARAMETERS angstrom
-1.448 -1.745 -1.951
-1.275 -1.477 2.268
-11.052 9.325 -0.137
ATOMIC_POSITIONS crystal
Al 0.000 0.000 0.598
Al 0.000 0.000 0.200
Al 0.000 0.000 0.800
Al 0.000 0.000 0.402
Mn 0.500 0.500 0.698
Mn 0.500 0.500 0.900
Mn 0.500 0.500 0.100
Mn 0.500 0.500 0.500
Mn 0.500 0.500 0.302
Ti 0.000 0.000 0.000
```

[5]
First-principles (PBE) data for an optimized crystal structure of Cs2ZnFeC6N6, as listed in Alexandria. Values from VASP.

Summary:
The symmetry is Fm-3m, No. 225. As for the total energy: -7.444 eV/atom. As for the raw formation energy: -0.147 eV per atom.

```
&SYSTEM
  ibrav = 0, nat = 16, ntyp = 5
/
ATOMIC_SPECIES
N 14.01 N.upf
C 12.01 C.upf
Zn 65.41 Zn.upf
Cs 132.91 Cs.upf
Fe 55.84 Fe.upf
CELL_PARAMETERS angstrom
7.386 0.000 0.000
3.693 6.397 0.000
3.693 2.132 6.031
ATOMIC_POSITIONS crystal
N 0.707 0.293 0.293
N 0.293 0.293 0.707
N 0.293 0.707 0.293
N 0.707 0.293 0.707
N 0.293 0.707 0.707
N 0.707 0.707 0.293
C 0.180 0.820 0.180
C 0.820 0.180 0.820
C 0.820 0.180 0.180
C 0.820 0.820 0.180
C 0.180 0.820 0.820
C 0.180 0.180 0.820
Zn 0.500 0.500 0.500
Cs 0.750 0.750 0.750
Cs 0.250 0.250 0.250
Fe 0.000 0.000 0.000
```

[6]
First-principles (PBE) data for an optimized crystal structure of RbVAsCl6, as listed in Alexandria. Values from VASP.

Summary:
The symmetry is P312, No. 149. As for the total energy: -3.996 eV/atom. As for the raw formation energy: -1.127 eV per atom.

```
&SYSTEM
  ibrav = 0, nat = 9, ntyp = 4
/
ATOMIC_SPECIES
Cl 35.45 Cl.upf
As 74.92 As.upf
V 50.94 V.upf
Rb 85.47 Rb.upf
CELL_PARAMETERS angstrom
6.573 0.000 0.000
3.287 5.692 0.000
0.000 0.000 7.361
ATOMIC_POSITIONS crystal
Cl 0.377 0.993 0.692
Cl 0.630 0.993 0.308
Cl 0.993 0.377 0.308
Cl 0.993 0.630 0.692
Cl 0.630 0.377 0.692
Cl 0.377 0.630 0.308
As 0.333 0.333 0.500
V 0.667 0.667 0.500
Rb 0.000 0.000 0.000
```

[7]
First-principles (PBE) data for an optimized crystal structure of La2SmPt9, as listed in Alexandria. Values from VASP.

Summary:
The symmetry is R-3m, No. 166. As for the total energy: -6.678 eV/atom.

```
&SYSTEM
  ibrav = 0, nat = 12, ntyp = 3
/
ATOMIC_SPECIES
Pt 195.08 Pt.upf
La 138.91 La.upf
Sm 150.36 Sm.upf
CELL_PARAMETERS angstrom
-4.699 2.211 1.722
-3.842 1.428 -3.624
-6.489 -7.012 -0.013
ATOMIC_POSITIONS crystal
Pt 0.500 0.500 0.500
Pt 0.415 0.919 0.251
Pt 0.081 0.585 0.749
Pt 0.667 0.667 0.998
Pt 0.585 0.081 0.749
Pt 0.333 0.333 0.002
Pt 0.919 0.415 0.251
Pt 0.415 0.415 0.251
Pt 0.585 0.585 0.749
La 0.861 0.861 0.417
La 0.139 0.139 0.583
Sm 0.000 0.000 0.000
```

[8]
First-principles (PBE) data for an optimized crystal structure of Nb2As2Pb, as listed in Alexandria. Values from VASP.

Summary:
The symmetry is P4/mbm, No. 127. As for the total energy: -6.848 eV/atom. The energy relative to the lowest polymorph listed for this composition is 0.00 kcal/mol of atoms.

```
&SYSTEM
  ibrav = 0, nat = 10, ntyp = 3
/
ATOMIC_SPECIES
As 74.92 As.upf
Nb 92.91 Nb.upf
Pb 207.20 Pb.upf
CELL_PARAMETERS angstrom
7.653 0.000 0.000
0.000 7.653 0.000
0.000 0.000 3.311
ATOMIC_POSITIONS crystal
As 0.639 0.861 0.500
As 0.361 0.139 0.500
As 0.861 0.361 0.500
As 0.139 0.639 0.500
Nb 0.645 0.145 0.000
Nb 0.355 0.855 0.000
Nb 0.145 0.355 0.000
Nb 0.855 0.645 0.000
Pb 0.500 0.500 0.000
Pb 0.000 0.000 0.000
```

no.,total magnetic moment (μB/f.u.)
1,5.76
2,0.00
3,0.00
4,8.31
5,0.11
6,3.00
7,0.00
8,0.00